Record 1
# GdPaAs, relaxed, DFT PBE
data_GdPaAs
_space_group_name_H-M_alt 'F -4 3 m'
_space_group_IT_number 216
_space_group_name_Hall 'F -4 2 3'
_cell_length_a 6.7670
_cell_length_b 6.7670
_cell_length_c 6.7670
_cell_angle_alpha 90.00
_cell_angle_beta 90.00
_cell_angle_gamma 90.00
loop_
_atom_site_label
_atom_site_type_symbol
_atom_site_fract_x
_atom_site_fract_y
_atom_site_fract_z
Gd1 Gd 0.0000 0.0000 0.0000
Pa1 Pa 0.2500 0.2500 0.2500
As1 As 0.2500 0.2500 0.7500
# Total moment   2.955 μB per cell
# Energy above the most stable polymorph in this dataset   0.000 eV per atom

Record 2
# SrPrGaTe3, relaxed, DFT PBE
data_SrPrGaTe3
_space_group_name_H-M_alt 'C m c m'
_space_group_IT_number 63
_space_group_name_Hall '-C 2c 2'
_cell_length_a 4.5433
_cell_length_b 15.7783
_cell_length_c 11.1347
_cell_angle_alpha 90.00
_cell_angle_beta 90.00
_cell_angle_gamma 90.00
loop_
_atom_site_label
_atom_site_type_symbol
_atom_site_fract_x
_atom_site_fract_y
_atom_site_fract_z
Sr1 Sr 0.0000 0.2351 0.2500
Pr1 Pr 0.0000 0.0000 0.0000
Ga1 Ga 0.0000 0.4842 0.7500
Te1 Te 0.0000 0.1109 0.7500
Te2 Te 0.0000 0.3556 0.5532
# Total moment   0.012 μB per cell
# Uncorrected energy   -4.202 eV per atom

Record 3
# Zr3TaCo2, relaxed, DFT PBE
data_Zr3TaCo2
_space_group_name_H-M_alt 'F m m 2'
_space_group_IT_number 42
_space_group_name_Hall 'F 2 -2'
_cell_length_a 5.3035
_cell_length_b 8.8231
_cell_length_c 8.9740
_cell_angle_alpha 90.00
_cell_angle_beta 90.00
_cell_angle_gamma 90.00
loop_
_atom_site_label
_atom_site_type_symbol
_atom_site_fract_x
_atom_site_fract_y
_atom_site_fract_z
Zr1 Zr 0.0000 0.0000 0.0000
Zr2 Zr 0.0000 0.1669 0.6628
Ta1 Ta 0.0000 0.0000 0.3313
Co1 Co 0.2500 0.2500 0.4097
# Total moment   0.084 μB per cell
# Uncorrected energy   -8.834 eV per atom